A plane-wave DFT calculation with PBE-GGA was carried out for a relaxed structure of SrSb2Pd3.

Cell and atoms, written as POSCAR:
```
SrSb2Pd3
1.0
-3.7871 2.2073 -0.0376
1.3173 -2.2420 -8.7705
-4.8840 -8.3028 4.4951
Sr Sb Pd
3 6 9
direct
0.1578 0.3155 0.7016 Sr
0.8422 0.6845 0.2984 Sr
0.0000 0.0000 0.0000 Sr
0.1980 0.3960 0.1253 Sb
0.8020 0.6040 0.8747 Sb
0.4658 0.9316 0.2263 Sb
0.5342 0.0684 0.7737 Sb
0.3611 0.7223 0.5494 Sb
0.6389 0.2777 0.4506 Sb
0.0503 0.1006 0.3250 Pd
0.9497 0.8994 0.6750 Pd
0.2181 0.4362 0.3898 Pd
0.7819 0.5638 0.6102 Pd
0.6234 0.2469 0.1955 Pd
0.3766 0.7531 0.8045 Pd
0.5000 0.0000 0.5000 Pd
0.3253 0.6506 0.0377 Pd
0.6747 0.3494 0.9623 Pd
```

Calculated values
- Raw formation energy: -4.34 eV per formula unit
- SG: C2/m
- DOS(E_F): 8.20 states/eV per cell
- Electronic total energy: -4.97 eV/atom